[1]
Here is a relaxed Tb3PrCd2 crystal from Alexandria. Energies are from PBE.

Unit cell a=3.6998 b=3.6998 c=12.7642 alpha=90.00 beta=90.00 gamma=90.00
With the nearest neighbours (Å) after each atom.
Positions (direct):
Tb  0.0000  0.0000  0.0000  8 Cd 3.24
Tb  0.0000  0.0000  0.3011  4 Cd 3.25
Tb  0.0000  0.0000  0.6989  4 Cd 3.25
Pr  0.5000  0.5000  0.5000  8 Tb 3.65, 4 Pr 3.70
Cd  0.5000  0.5000  0.1504  8 Tb 3.24-3.25
Cd  0.5000  0.5000  0.8496  8 Tb 3.24-3.25

Results
- electronic total energy (eV per atom) = -3.62
- volume (Å³ per atom) = 29.120

---

[2]
Here is a relaxed ReSeIN2 crystal from Alexandria. Energies are from PBE.

Unit cell a=3.9128 b=3.9128 c=6.8231 alpha=90.00 beta=90.00 gamma=90.00
With the nearest neighbours (Å) after each atom.
Positions (direct):
Re  0.0000  0.0000  0.0000  4 Se 2.77
Se  0.5000  0.5000  0.0000  4 Re 2.77
I  0.5000  0.5000  0.5000  4 N 1.96
N  0.0000  0.5000  0.5000  2 I 1.96
N  0.5000  0.0000  0.5000  2 I 1.96

Results
- electronic total energy (eV per atom) = -4.39
- volume (Å³ per atom) = 20.893
- formation energy without anion corrections (eV/atom) = 2.433
- E above lowest polymorph (meV/atom) = 1761

---

[3]
Here is a relaxed Tc2AuCl crystal from Alexandria. Energies are from PBE.

Unit cell a=2.8596 b=2.8596 c=9.6412 alpha=90.00 beta=90.00 gamma=118.40
With the nearest neighbours (Å) after each atom.
Positions (direct):
Tc  0.0000  0.0000  0.0000  2 Tc 2.53
Tc  0.5000  0.5000  0.2136  2 Cl 2.50, 2 Tc 2.53
Au  0.5000  0.5000  0.7417  6 Au 2.86-2.93, 2 Tc 2.89
Cl  0.0000  0.0000  0.4234  2 Tc 2.50

Results
- electronic total energy (eV per atom) = -6.08
- volume (Å³ per atom) = 17.339
- formation energy without anion corrections (eV/atom) = 0.384
- E above lowest polymorph (meV/atom) = 298

---

[4]
Here is a relaxed Tm3TcO7 crystal from Alexandria. Energies are from PBE.

Unit cell a=6.3937 b=6.3937 c=7.3219 alpha=90.00 beta=90.00 gamma=108.52
With the nearest neighbours (Å) after each atom.
Positions (direct):
Tm  0.0375  0.5002  0.2585  7 O 2.19-2.36
Tm  0.0435  0.0435  0.0000  6 O 2.27-2.35
Tm  0.5002  0.0375  0.7415  7 O 2.19-2.36
Tm  0.4998  0.9625  0.2415  7 O 2.19-2.36
Tm  0.9565  0.9565  0.5000  6 O 2.27-2.35
Tm  0.9625  0.4998  0.7585  7 O 2.19-2.36
Tc  0.4971  0.4971  0.5000  6 O 1.90-2.03
Tc  0.5029  0.5029  0.0000  6 O 1.90-2.03
O  0.1299  0.8701  0.7500  4 Tm 2.27-2.30
O  0.1383  0.8617  0.2500  4 Tm 2.19-2.35
O  0.1702  0.4171  0.9758  1 Tc 2.03, 2 Tm 2.24-2.27
O  0.1927  0.4534  0.5427  1 Tc 1.90
O  0.4171  0.1702  0.0242  1 Tc 2.03, 2 Tm 2.24-2.27
O  0.4241  0.5759  0.2500  2 Tc 1.99
O  0.4534  0.1927  0.4573  1 Tc 1.90
O  0.5466  0.8073  0.9573  1 Tc 1.90
O  0.5759  0.4241  0.7500  2 Tc 1.99
O  0.5829  0.8298  0.5242  1 Tc 2.03, 2 Tm 2.24-2.27
O  0.8073  0.5466  0.0427  1 Tc 1.90
O  0.8298  0.5829  0.4758  1 Tc 2.03, 2 Tm 2.24-2.27
O  0.8617  0.1383  0.7500  4 Tm 2.19-2.35
O  0.8701  0.1299  0.2500  4 Tm 2.27-2.30

Results
- electronic total energy (eV per atom) = -8.25
- volume (Å³ per atom) = 12.901
- formation energy without anion corrections (eV/atom) = -2.937

---

[5]
Here is a relaxed CaLaSi2 crystal from Alexandria. Energies are from PBE.

Unit cell a=5.0954 b=5.0954 c=5.0954 alpha=60.00 beta=60.00 gamma=60.00
With the nearest neighbours (Å) after each atom.
Positions (direct):
Ca  0.0000  0.0000  0.0000  4 Si 3.12, 4 La 3.12
La  0.2500  0.2500  0.2500  4 Ca 3.12, 4 Si 3.12
Si  0.5000  0.5000  0.5000  4 Si 3.12, 4 La 3.12
Si  0.7500  0.7500  0.7500  4 Ca 3.12, 4 Si 3.12

Results
- electronic total energy (eV per atom) = -4.33
- volume (Å³ per atom) = 23.387
- formation energy without anion corrections (eV/atom) = 0.117

---

[6]
Here is a relaxed Nb5Tc4Pd crystal from Alexandria. Energies are from PBE.

Unit cell a=3.1866 b=3.1866 c=16.2242 alpha=90.00 beta=90.00 gamma=90.00
With the nearest neighbours (Å) after each atom.
Positions (direct):
Nb  0.0000  0.0000  0.0000  8 Tc 2.76
Nb  0.0000  0.0000  0.1973  8 Tc 2.77
Nb  0.0000  0.0000  0.3912  4 Tc 2.73, 4 Pd 2.86
Nb  0.0000  0.0000  0.6088  4 Tc 2.73, 4 Pd 2.86
Nb  0.0000  0.0000  0.8027  8 Tc 2.77
Tc  0.5000  0.5000  0.0982  8 Nb 2.76-2.77
Tc  0.5000  0.5000  0.2961  8 Nb 2.73-2.77
Tc  0.5000  0.5000  0.7039  8 Nb 2.73-2.77
Tc  0.5000  0.5000  0.9018  8 Nb 2.76-2.77
Pd  0.5000  0.5000  0.5000  8 Nb 2.86, 4 Pd 3.19

Results
- electronic total energy (eV per atom) = -9.98
- volume (Å³ per atom) = 16.475